(1)
{"formula": "PaCoSe", "functional": "PBE-GGA", "state": "optimized geometry", "lattice": [[-3.063, 1.731, -0.940], [-1.706, -3.292, -0.506], [-3.984, -1.481, 9.568]], "species": ["Pa", "Co", "Pa", "Se", "Se", "Co"], "frac_coords": [[0.819, 0.372, 0.879], [0.322, 0.913, 0.796], [0.832, 0.031, 0.554], [0.339, 0.603, 0.407], [0.311, 0.800, 0.027], [0.329, 0.490, 0.638]], "sg": "P-1, No. 2", "formation_energy_uncorrected_ev_per_atom": -0.81, "de_polymorph_mev_per_atom": 7}



(2)
{"formula": "KMgPb4", "functional": "PBE-GGA", "state": "optimized geometry", "lattice": [[2.629, -5.720, 1.993], [-3.079, -3.632, 4.575], [-2.852, -5.711, -1.689]], "species": ["Pb", "Pb", "Pb", "K", "Mg", "Pb"], "frac_coords": [[0.375, 0.375, 0.375], [0.876, 0.375, 0.375], [0.375, 0.876, 0.375], [0.750, 0.750, 0.750], [0.000, 0.000, 0.000], [0.375, 0.375, 0.876]], "sg": "F-43m, No. 216", "de_polymorph_mev_per_atom": 0}



(3)
{"formula": "Sc2TlH", "functional": "PBE-GGA", "state": "optimized geometry", "lattice": [[-2.476, -0.946, 1.689], [1.493, -2.678, 0.688], [2.856, 3.118, 5.935]], "species": ["Sc", "H", "Tl", "Sc"], "frac_coords": [[0.000, 0.000, 0.196], [0.500, 0.500, 0.000], [0.500, 0.500, 0.500], [0.000, 0.000, 0.804]], "sg": "P4/mmm, No. 123", "de_polymorph_mev_per_atom": 425}



(4)
{"formula": "CaGa2Au2", "functional": "PBE-GGA", "state": "optimized geometry", "lattice": [[-2.483, -3.129, 1.395], [3.041, -1.220, 2.677], [-1.931, 1.431, 6.189]], "species": ["Ga", "Ga", "Ca", "Au", "Au"], "frac_coords": [[0.750, 0.250, 0.500], [0.250, 0.750, 0.500], [0.000, 0.000, 0.000], [0.384, 0.384, 0.232], [0.616, 0.616, 0.768]], "sg": "I4/mmm, No. 139"}



(5)
{"formula": "V2Cr3Ga2", "functional": "PBE-GGA", "state": "optimized geometry", "lattice": [[4.151, 0.000, 0.000], [-2.076, 3.289, -1.465], [0.000, 0.274, 6.489]], "species": ["Ga", "V", "Ga", "Cr", "V", "Cr", "Cr"], "frac_coords": [[0.071, 0.142, 0.714], [0.787, 0.573, 0.861], [0.929, 0.858, 0.286], [0.652, 0.304, 0.455], [0.213, 0.427, 0.139], [0.348, 0.696, 0.545], [0.500, 0.000, 0.000]], "sg": "C2/m, No. 12"}



(6)
{"formula": "LaPrPdPt", "functional": "PBE-GGA", "state": "optimized geometry", "lattice": [[-0.890, 1.864, -3.391], [-3.440, -2.989, -0.739], [-3.024, 2.385, 4.428]], "species": ["Pr", "Pt", "Pd", "La"], "frac_coords": [[0.136, 0.000, 0.272], [0.412, 0.000, 0.823], [0.588, 0.500, 0.176], [0.864, 0.500, 0.729]], "sg": "Amm2, No. 38", "de_polymorph_mev_per_atom": 0}



| no. | total energy (hartree per atom) |
| --- | --- |
| 1 | -0.2760 |
| 2 | -0.1068 |
| 3 | -0.1671 |
| 4 | -0.1272 |
| 5 | -0.2807 |
| 6 | -0.2290 |